VASP calculation (PBE-GGA) on an optimized crystal structure of CrRe2.

Lattice parameters (Å, degrees): 6.133 6.133 4.008 90.00 90.00 120.00
Element x y z (fractional)
Cr 0.000 0.000 0.000
Cr 0.333 0.667 0.500
Cr 0.667 0.333 0.500
Re 0.000 0.253 0.500
Re 0.000 0.585 0.000
Re 0.253 0.000 0.500
Re 0.415 0.415 0.000
Re 0.585 0.000 0.000
Re 0.747 0.747 0.500

## Properties
The calculated volume comes out at 43.5 Å³/f.u. The formation energy from the elements is 361 meV/atom. Its symmetry is P-62m. The density of states at the Fermi level is 8.20 states/eV per cell. The calculation puts the magnetic moment at 0.00 μB/cell.

VASP calculation (PBE-GGA) on an optimized crystal structure of Cr3Re2.

Lattice parameters (Å, degrees): 9.190 9.190 4.671 90.00 90.00 90.00
Element x y z (fractional)
Cr 0.000 0.000 0.000
Cr 0.062 0.251 0.000
Cr 0.187 0.813 0.251
Cr 0.187 0.813 0.749
Cr 0.249 0.562 0.500
Cr 0.251 0.062 0.000
Cr 0.313 0.313 0.249
Cr 0.313 0.313 0.751
Cr 0.438 0.751 0.500
Cr 0.500 0.500 0.500
Cr 0.562 0.249 0.500
Cr 0.687 0.687 0.249
Cr 0.687 0.687 0.751
Cr 0.749 0.938 0.000
Cr 0.751 0.438 0.500
Cr 0.813 0.187 0.251
Cr 0.813 0.187 0.749
Cr 0.938 0.749 0.000
Re 0.033 0.365 0.500
Re 0.099 0.099 0.500
Re 0.135 0.533 0.000
Re 0.365 0.033 0.500
Re 0.401 0.599 0.000
Re 0.467 0.865 0.000
Re 0.533 0.135 0.000
Re 0.599 0.401 0.000
Re 0.635 0.967 0.500
Re 0.865 0.467 0.000
Re 0.901 0.901 0.500
Re 0.967 0.635 0.500

## Properties
The calculated volume comes out at 65.7 Å³/f.u. The formation energy from the elements is 6 meV/atom. Its symmetry is P4_2/mnm. The density of states at the Fermi level is 37.04 states/eV per cell. The calculation puts the magnetic moment at 0.00 μB/cell.

VASP calculation (PBE-GGA) on an optimized crystal structure of Cr5Re.

Lattice parameters (Å, degrees): 6.496 6.496 2.918 90.00 90.00 142.92
Element x y z (fractional)
Cr 0.000 0.000 0.000
Cr 0.168 0.832 0.500
Cr 0.329 0.671 0.000
Cr 0.671 0.329 0.000
Cr 0.832 0.168 0.500
Re 0.500 0.500 0.500

## Properties
The calculated volume comes out at 74.2 Å³/f.u. The formation energy from the elements is 3 meV/atom. Its symmetry is Cmmm. The density of states at the Fermi level is 3.35 states/eV per cell. The calculation puts the magnetic moment at 0.14 μB/cell.

VASP calculation (PBE-GGA) on an optimized crystal structure of Cr7Re.

Lattice parameters (Å, degrees): 5.193 5.193 5.193 60.00 60.00 60.00
Element x y z (fractional)
Cr 0.000 0.000 0.000
Cr 0.000 0.000 0.500
Cr 0.000 0.500 0.000
Cr 0.000 0.500 0.500
Cr 0.500 0.000 0.000
Cr 0.500 0.000 0.500
Cr 0.500 0.500 0.000
Re 0.500 0.500 0.500

## Properties
The calculated volume comes out at 99.0 Å³/f.u. The formation energy from the elements is 343 meV/atom. Its symmetry is Fm-3m. The density of states at the Fermi level is 14.19 states/eV per cell. The calculation puts the magnetic moment at 0.00 μB/cell.

VASP calculation (PBE-GGA) on an optimized crystal structure of CrRe.

Lattice parameters (Å, degrees): 4.763 4.434 5.153 90.00 90.00 90.00
Element x y z (fractional)
Cr 0.084 0.250 0.121
Cr 0.416 0.750 0.621
Cr 0.584 0.250 0.379
Cr 0.916 0.750 0.879
Re 0.098 0.250 0.619
Re 0.402 0.750 0.119
Re 0.598 0.250 0.881
Re 0.902 0.750 0.381

## Properties
The calculated volume comes out at 27.2 Å³/f.u. The formation energy from the elements is 214 meV/atom. Its symmetry is Pnma. The density of states at the Fermi level is 11.38 states/eV per cell. The calculation puts the magnetic moment at 3.02 μB/cell.

VASP calculation (PBE-GGA) on an optimized crystal structure of Cr5Re.

Lattice parameters (Å, degrees): 2.899 2.899 8.777 90.00 90.00 90.00
Element x y z (fractional)
Cr 0.000 0.000 0.000
Cr 0.000 0.000 0.321
Cr 0.000 0.000 0.679
Cr 0.500 0.500 0.162
Cr 0.500 0.500 0.838
Re 0.500 0.500 0.500

## Properties
The calculated volume comes out at 73.8 Å³/f.u. The formation energy from the elements is -3 meV/atom. Its symmetry is P4/mmm. The density of states at the Fermi level is 3.23 states/eV per cell. The calculation puts the magnetic moment at 0.29 μB/cell.

VASP calculation (PBE-GGA) on an optimized crystal structure of CrRe2.

Lattice parameters (Å, degrees): 5.335 4.068 7.764 90.00 90.00 90.00
Element x y z (fractional)
Cr 0.165 0.250 0.090
Cr 0.335 0.750 0.590
Cr 0.665 0.250 0.410
Cr 0.835 0.750 0.910
Re 0.041 0.250 0.769
Re 0.163 0.250 0.429
Re 0.337 0.750 0.929
Re 0.459 0.750 0.269
Re 0.541 0.250 0.731
Re 0.663 0.250 0.071
Re 0.837 0.750 0.571
Re 0.959 0.750 0.231

## Properties
The calculated volume comes out at 42.1 Å³/f.u. The formation energy from the elements is 137 meV/atom. Its symmetry is Pnma. The density of states at the Fermi level is 11.81 states/eV per cell. The calculation puts the magnetic moment at 0.00 μB/cell.

VASP calculation (PBE-GGA) on an optimized crystal structure of Cr5Re.

Lattice parameters (Å, degrees): 4.613 4.613 4.157 90.00 90.00 120.00
Element x y z (fractional)
Cr 0.000 0.500 0.000
Cr 0.333 0.667 0.500
Cr 0.500 0.000 0.000
Cr 0.500 0.500 0.000
Cr 0.667 0.333 0.500
Re 0.000 0.000 0.500

## Properties
The calculated volume comes out at 76.6 Å³/f.u. The formation energy from the elements is 382 meV/atom. Its symmetry is P6/mmm. The density of states at the Fermi level is 6.12 states/eV per cell. The calculation puts the magnetic moment at 0.00 μB/cell.

VASP calculation (PBE-GGA) on an optimized crystal structure of Cr7Re8.

Lattice parameters (Å, degrees): 9.097 9.097 4.939 90.00 90.00 90.00
Element x y z (fractional)
Cr 0.000 0.000 0.000
Cr 0.065 0.250 0.000
Cr 0.093 0.093 0.500
Cr 0.250 0.065 0.000
Cr 0.250 0.565 0.500
Cr 0.407 0.593 0.000
Cr 0.435 0.750 0.500
Cr 0.500 0.500 0.500
Cr 0.565 0.250 0.500
Cr 0.593 0.407 0.000
Cr 0.750 0.435 0.500
Cr 0.750 0.935 0.000
Cr 0.907 0.907 0.500
Cr 0.935 0.750 0.000
Re 0.034 0.362 0.500
Re 0.138 0.534 0.000
Re 0.185 0.815 0.251
Re 0.185 0.815 0.749
Re 0.315 0.315 0.249
Re 0.315 0.315 0.751
Re 0.362 0.034 0.500
Re 0.466 0.862 0.000
Re 0.534 0.138 0.000
Re 0.638 0.966 0.500
Re 0.685 0.685 0.249
Re 0.685 0.685 0.751
Re 0.815 0.185 0.251
Re 0.815 0.185 0.749
Re 0.862 0.466 0.000
Re 0.966 0.638 0.500

## Properties
The calculated volume comes out at 204.4 Å³/f.u. The formation energy from the elements is 32 meV/atom. Its symmetry is P4_2/mnm. The density of states at the Fermi level is 31.26 states/eV per cell. The calculation puts the magnetic moment at 0.00 μB/cell.

VASP calculation (PBE-GGA) on an optimized crystal structure of CrRe2.

Lattice parameters (Å, degrees): 3.992 3.992 2.985 90.00 90.00 90.00
Element x y z (fractional)
Cr 0.000 0.000 0.000
Re 0.000 0.500 0.500
Re 0.500 0.000 0.500

## Properties
The calculated volume comes out at 47.6 Å³/f.u. The formation energy from the elements is 873 meV/atom. Its symmetry is P4/mmm. The density of states at the Fermi level is 2.47 states/eV per cell. The calculation puts the magnetic moment at 0.00 μB/cell.

VASP calculation (PBE-GGA) on an optimized crystal structure of CrRe.

Lattice parameters (Å, degrees): 6.057 5.660 4.994 68.97 60.72 50.31
Element x y z (fractional)
Cr 0.052 0.698 0.698
Cr 0.302 0.948 0.948
Cr 0.698 0.052 0.052
Cr 0.948 0.302 0.302
Re 0.187 0.563 0.187
Re 0.437 0.813 0.437
Re 0.563 0.187 0.563
Re 0.813 0.437 0.813

## Properties
The calculated volume comes out at 28.7 Å³/f.u. The formation energy from the elements is 792 meV/atom. Its symmetry is Fddd. The density of states at the Fermi level is 8.93 states/eV per cell. The calculation puts the magnetic moment at 0.00 μB/cell.

VASP calculation (PBE-GGA) on an optimized crystal structure of Cr2Re.

Lattice parameters (Å, degrees): 5.726 5.726 5.726 90.00 90.00 90.00
Element x y z (fractional)
Cr 0.120 0.120 0.120
Cr 0.120 0.380 0.620
Cr 0.380 0.620 0.120
Cr 0.380 0.880 0.620
Cr 0.620 0.120 0.380
Cr 0.620 0.380 0.880
Cr 0.880 0.620 0.380
Cr 0.880 0.880 0.880
Re 0.000 0.000 0.500
Re 0.000 0.500 0.000
Re 0.500 0.000 0.000
Re 0.500 0.500 0.500

## Properties
The calculated volume comes out at 46.9 Å³/f.u. The formation energy from the elements is 1271 meV/atom. Its symmetry is Pa-3. The density of states at the Fermi level is 18.44 states/eV per cell. The calculation puts the magnetic moment at 0.21 μB/cell.

VASP calculation (PBE-GGA) on an optimized crystal structure of CrRe.

Lattice parameters (Å, degrees): 4.800 4.800 8.041 90.00 90.00 120.00
Element x y z (fractional)
Cr 0.174 0.349 0.250
Cr 0.174 0.826 0.250
Cr 0.349 0.174 0.750
Cr 0.651 0.826 0.250
Cr 0.826 0.174 0.750
Cr 0.826 0.651 0.750
Re 0.000 0.000 0.000
Re 0.000 0.000 0.500
Re 0.333 0.667 0.569
Re 0.333 0.667 0.931
Re 0.667 0.333 0.069
Re 0.667 0.333 0.431

## Properties
The calculated volume comes out at 26.7 Å³/f.u. The formation energy from the elements is 47 meV/atom. Its symmetry is P6_3/mmc. The density of states at the Fermi level is 17.28 states/eV per cell. The calculation puts the magnetic moment at 0.00 μB/cell.

VASP calculation (PBE-GGA) on an optimized crystal structure of Cr2Re.

Lattice parameters (Å, degrees): 4.887 4.887 5.937 108.14 108.14 34.99
Element x y z (fractional)
Cr 0.002 0.002 0.234
Cr 0.336 0.336 0.925
Cr 0.664 0.664 0.075
Cr 0.998 0.998 0.766
Re 0.337 0.337 0.411
Re 0.663 0.663 0.589

## Properties
The calculated volume comes out at 38.4 Å³/f.u. The formation energy from the elements is 26 meV/atom. Its symmetry is C2/m. The density of states at the Fermi level is 5.62 states/eV per cell. The calculation puts the magnetic moment at 0.00 μB/cell.

VASP calculation (PBE-GGA) on an optimized crystal structure of Cr5Re2.

Lattice parameters (Å, degrees): 4.871 4.871 6.563 97.87 97.87 35.05
Element x y z (fractional)
Cr 0.000 0.000 0.000
Cr 0.150 0.150 0.425
Cr 0.290 0.290 0.863
Cr 0.710 0.710 0.137
Cr 0.850 0.850 0.575
Re 0.428 0.428 0.286
Re 0.572 0.572 0.714

## Properties
The calculated volume comes out at 88.5 Å³/f.u. The formation energy from the elements is 11 meV/atom. Its symmetry is C2/m. The density of states at the Fermi level is 6.72 states/eV per cell. The calculation puts the magnetic moment at 0.00 μB/cell.

VASP calculation (PBE-GGA) on an optimized crystal structure of Cr13Re2.

Lattice parameters (Å, degrees): 8.887 8.887 4.628 90.00 90.00 90.00
Element x y z (fractional)
Cr 0.000 0.000 0.000
Cr 0.033 0.376 0.500
Cr 0.061 0.259 0.000
Cr 0.124 0.533 0.000
Cr 0.186 0.814 0.255
Cr 0.186 0.814 0.745
Cr 0.241 0.561 0.500
Cr 0.259 0.061 0.000
Cr 0.314 0.314 0.245
Cr 0.314 0.314 0.755
Cr 0.376 0.033 0.500
Cr 0.439 0.759 0.500
Cr 0.467 0.876 0.000
Cr 0.500 0.500 0.500
Cr 0.533 0.124 0.000
Cr 0.561 0.241 0.500
Cr 0.624 0.967 0.500
Cr 0.686 0.686 0.245
Cr 0.686 0.686 0.755
Cr 0.741 0.939 0.000
Cr 0.759 0.439 0.500
Cr 0.814 0.186 0.255
Cr 0.814 0.186 0.745
Cr 0.876 0.467 0.000
Cr 0.939 0.741 0.000
Cr 0.967 0.624 0.500
Re 0.105 0.105 0.500
Re 0.395 0.605 0.000
Re 0.605 0.395 0.000
Re 0.895 0.895 0.500

## Properties
The calculated volume comes out at 182.8 Å³/f.u. The formation energy from the elements is 52 meV/atom. Its symmetry is P4_2/mnm. The density of states at the Fermi level is 32.20 states/eV per cell. The calculation puts the magnetic moment at 0.00 μB/cell.

VASP calculation (PBE-GGA) on an optimized crystal structure of CrRe2.

Lattice parameters (Å, degrees): 9.222 9.222 4.937 90.00 90.00 90.00
Element x y z (fractional)
Cr 0.000 0.000 0.000
Cr 0.063 0.250 0.000
Cr 0.250 0.063 0.000
Cr 0.250 0.563 0.500
Cr 0.437 0.750 0.500
Cr 0.500 0.500 0.500
Cr 0.563 0.250 0.500
Cr 0.750 0.437 0.500
Cr 0.750 0.937 0.000
Cr 0.937 0.750 0.000
Re 0.033 0.366 0.500
Re 0.098 0.098 0.500
Re 0.134 0.533 0.000
Re 0.187 0.813 0.250
Re 0.187 0.813 0.750
Re 0.313 0.313 0.250
Re 0.313 0.313 0.750
Re 0.366 0.033 0.500
Re 0.402 0.598 0.000
Re 0.467 0.866 0.000
Re 0.533 0.134 0.000
Re 0.598 0.402 0.000
Re 0.634 0.967 0.500
Re 0.687 0.687 0.250
Re 0.687 0.687 0.750
Re 0.813 0.187 0.250
Re 0.813 0.187 0.750
Re 0.866 0.467 0.000
Re 0.902 0.902 0.500
Re 0.967 0.634 0.500

## Properties
The calculated volume comes out at 42.0 Å³/f.u. The formation energy from the elements is 11 meV/atom. Its symmetry is P4_2/mnm. The density of states at the Fermi level is 25.74 states/eV per cell. The calculation puts the magnetic moment at 0.00 μB/cell.

VASP calculation (PBE-GGA) on an optimized crystal structure of CrRe.

Lattice parameters (Å, degrees): 2.922 2.922 6.244 90.00 90.00 90.00
Element x y z (fractional)
Cr 0.250 0.250 0.098
Cr 0.750 0.750 0.902
Re 0.250 0.250 0.639
Re 0.750 0.750 0.361

## Properties
The calculated volume comes out at 26.7 Å³/f.u. The formation energy from the elements is 31 meV/atom. Its symmetry is P4/nmm. The density of states at the Fermi level is 1.91 states/eV per cell. The calculation puts the magnetic moment at 0.00 μB/cell.

VASP calculation (PBE-GGA) on an optimized crystal structure of CrRe4.

Lattice parameters (Å, degrees): 4.740 4.740 4.740 99.63 99.63 131.71
Element x y z (fractional)
Cr 0.000 0.000 0.000
Re 0.203 0.400 0.604
Re 0.400 0.797 0.197
Re 0.600 0.203 0.803
Re 0.797 0.600 0.396

## Properties
The calculated volume comes out at 72.6 Å³/f.u. The formation energy from the elements is 111 meV/atom. Its symmetry is I4/m. The density of states at the Fermi level is 4.73 states/eV per cell. The calculation puts the magnetic moment at 0.00 μB/cell.